(1)
! Th3Fe, relaxed, DFT GGA-PBE; values from VASP
! formation energy from the elements = 0.373 eV per atom
&SYSTEM
  ibrav = 0, nat = 4, ntyp = 2
/
ATOMIC_SPECIES
Th 232.04 Th.upf
Fe 55.84 Fe.upf
ATOMIC_POSITIONS angstrom
Th 0.000 0.000 2.393
Th 0.000 2.393 0.000
Th 2.393 0.000 0.000
Fe 2.393 2.393 2.393
CELL_PARAMETERS angstrom
4.787 0.000 0.000
0.000 4.787 0.000
0.000 0.000 4.787



(2)
! NaSmCoS3, relaxed, DFT GGA-PBE; values from VASP
! energy above the lowest structure with this stoichiometry = 4.4 meV per atom
&SYSTEM
  ibrav = 0, nat = 24, ntyp = 4
/
ATOMIC_SPECIES
Na 22.99 Na.upf
Sm 150.36 Sm.upf
Co 58.93 Co.upf
S 32.06 S.upf
ATOMIC_POSITIONS angstrom
Na 1.765 0.991 0.088
Na 3.728 2.974 5.788
Na 7.259 0.991 5.612
Na 9.222 2.974 11.312
Sm 0.240 0.991 7.713
Sm 5.253 2.974 2.014
Sm 5.734 0.991 9.386
Sm 10.747 2.974 3.686
Co 2.681 0.991 3.296
Co 2.813 2.974 8.995
Co 8.175 0.991 2.404
Co 8.306 2.974 8.104
S 0.660 2.974 9.646
S 1.254 0.991 5.020
S 2.350 2.974 2.218
S 3.144 0.991 7.917
S 4.239 2.974 10.720
S 4.833 0.991 3.946
S 6.154 2.974 7.454
S 6.748 0.991 0.680
S 7.843 2.974 3.482
S 8.637 0.991 9.182
S 9.733 2.974 6.380
S 10.327 0.991 1.754
CELL_PARAMETERS angstrom
10.987 0.000 0.000
0.000 3.966 0.000
0.000 0.000 11.400



(3)
! YZnFeAg, relaxed, DFT GGA-PBE; values from VASP
! formation energy from the elements = 0.072 eV per atom
! energy above the lowest structure with this stoichiometry = 0.0 meV per atom
&SYSTEM
  ibrav = 0, nat = 4, ntyp = 4
/
ATOMIC_SPECIES
Y 88.91 Y.upf
Zn 65.41 Zn.upf
Fe 55.84 Fe.upf
Ag 107.87 Ag.upf
ATOMIC_POSITIONS angstrom
Y 0.000 0.000 0.000
Zn 1.676 1.676 1.676
Fe 3.353 3.353 3.353
Ag 5.029 5.029 5.029
CELL_PARAMETERS angstrom
0.000 3.353 3.353
3.353 0.000 3.353
3.353 3.353 0.000



(4)
Cd2PbS3: relaxed, GGA-PBE. Values from VASP.

Structure (Quantum ESPRESSO input):
```
&SYSTEM
  ibrav = 0, nat = 12, ntyp = 3
/
ATOMIC_SPECIES
Cd 112.41 Cd.upf
Pb 207.20 Pb.upf
S 32.06 S.upf
ATOMIC_POSITIONS angstrom
Cd 0.000 0.000 0.000
Cd 0.000 0.000 5.395
Cd 1.988 0.145 8.092
Cd 1.988 -0.145 2.697
Pb 1.988 3.614 2.697
Pb 1.988 -3.614 8.092
S 1.988 5.282 8.092
S 1.988 1.735 6.121
S 1.988 1.735 10.064
S 1.988 -1.735 0.726
S 1.988 -1.735 4.669
S 1.988 -5.282 2.697
CELL_PARAMETERS angstrom
1.988 -6.717 0.000
1.988 6.717 0.000
0.000 0.000 10.790
```



(5)
Zr2Zn3W4N3: relaxed, GGA-PBE. Values from VASP.

Structure (Quantum ESPRESSO input):
```
&SYSTEM
  ibrav = 0, nat = 24, ntyp = 4
/
ATOMIC_SPECIES
Zr 91.22 Zr.upf
Zn 65.41 Zn.upf
W 183.84 W.upf
N 14.01 N.upf
ATOMIC_POSITIONS angstrom
Zr 2.277 2.248 8.169
Zr 2.278 2.248 11.711
Zr 3.861 -2.248 1.543
Zr 3.863 -2.248 5.084
Zn -0.126 0.847 9.919
Zn 1.459 -0.847 3.293
Zn 3.862 0.384 3.313
Zn 2.277 -0.384 9.940
Zn 4.681 0.847 9.961
Zn 6.265 -0.847 3.334
W 2.377 0.472 1.023
W 2.285 0.392 5.602
W 0.793 -0.472 7.650
W 0.700 -0.392 12.228
W 5.439 0.392 1.025
W 5.347 0.472 5.604
W 3.854 -0.392 7.652
W 3.762 -0.472 12.231
N 0.743 1.351 6.627
N 3.967 1.499 0.002
N 3.757 1.499 6.624
N 2.327 -1.351 0.000
N 2.382 -1.499 6.629
N 2.173 -1.499 13.251
CELL_PARAMETERS angstrom
4.654 -2.702 0.000
4.654 2.702 0.000
-3.169 0.000 13.254
```



(6)
! PmScFe4, relaxed, DFT GGA-PBE; values from VASP
! formation energy from the elements = 1.140 eV per atom
&SYSTEM
  ibrav = 0, nat = 6, ntyp = 3
/
ATOMIC_SPECIES
Pm 145.00 Pm.upf
Sc 44.96 Sc.upf
Fe 55.84 Fe.upf
ATOMIC_POSITIONS angstrom
Pm 0.000 0.000 0.000
Sc 3.357 0.000 2.622
Fe 1.060 0.000 2.622
Fe 3.357 1.019 0.000
Fe 3.357 -1.019 0.000
Fe 5.654 0.000 2.622
CELL_PARAMETERS angstrom
3.357 -3.505 0.000
3.357 3.505 0.000
0.000 0.000 5.243



(7)
Er2NiB4Ir4: relaxed, GGA-PBE. Values from VASP.

Structure (Quantum ESPRESSO input):
```
&SYSTEM
  ibrav = 0, nat = 11, ntyp = 4
/
ATOMIC_SPECIES
Er 167.26 Er.upf
Ni 58.69 Ni.upf
B 10.81 B.upf
Ir 192.22 Ir.upf
ATOMIC_POSITIONS angstrom
Er 2.742 4.657 1.584
Er 2.742 4.657 9.791
Ni 2.742 4.657 5.687
B 2.742 3.305 4.171
B 2.742 3.305 7.204
B 2.742 6.008 4.171
B 2.742 6.008 7.204
Ir 1.371 2.328 0.000
Ir 1.371 2.328 2.844
Ir 1.371 2.328 5.687
Ir 4.112 6.985 8.531
CELL_PARAMETERS angstrom
0.000 4.657 5.687
2.742 0.000 5.687
2.742 4.657 0.000
```



(8)
Ge64Pd: relaxed, GGA-PBE. Values from VASP.

Structure (Quantum ESPRESSO input):
```
&SYSTEM
  ibrav = 0, nat = 65, ntyp = 2
/
ATOMIC_SPECIES
Ge 72.64 Ge.upf
Pd 106.42 Pd.upf
ATOMIC_POSITIONS angstrom
Ge 0.000 0.000 2.879
Ge 0.000 0.000 8.644
Ge 0.000 2.879 0.000
Ge 0.000 2.882 5.761
Ge 0.000 5.761 2.882
Ge 0.000 5.761 8.640
Ge 0.000 8.644 0.000
Ge 0.000 8.640 5.761
Ge 1.432 1.432 4.329
Ge 1.432 4.329 1.432
Ge 1.432 7.194 10.091
Ge 1.432 10.091 7.194
Ge 1.439 1.439 10.084
Ge 1.438 4.315 7.208
Ge 1.438 7.208 4.315
Ge 1.439 10.084 1.439
Ge 2.842 2.842 2.842
Ge 2.842 8.680 8.680
Ge 2.861 5.761 5.761
Ge 2.879 0.000 0.000
Ge 2.882 0.000 5.761
Ge 2.877 2.877 8.645
Ge 2.882 5.761 0.000
Ge 2.877 8.645 2.877
Ge 4.270 4.270 4.270
Ge 4.270 7.252 7.252
Ge 4.315 1.438 7.208
Ge 4.315 4.315 10.085
Ge 4.315 7.208 1.438
Ge 4.315 10.085 4.315
Ge 4.329 1.432 1.432
Ge 4.329 10.091 10.091
Ge 5.761 0.000 2.882
Ge 5.761 0.000 8.640
Ge 5.761 2.861 5.761
Ge 5.761 2.882 0.000
Ge 5.761 5.761 2.861
Ge 5.761 5.761 8.662
Ge 5.761 8.640 0.000
Ge 5.761 8.662 5.761
Ge 7.194 1.432 10.091
Ge 7.194 10.091 1.432
Ge 7.208 1.438 4.315
Ge 7.208 4.315 1.438
Ge 7.208 7.208 10.085
Ge 7.208 10.085 7.208
Ge 7.252 4.270 7.252
Ge 7.252 7.252 4.270
Ge 8.644 0.000 0.000
Ge 8.640 0.000 5.761
Ge 8.645 2.877 2.877
Ge 8.640 5.761 0.000
Ge 8.645 8.645 8.645
Ge 8.662 5.761 5.761
Ge 8.680 2.842 8.680
Ge 8.680 8.680 2.842
Ge 10.084 1.439 1.439
Ge 10.085 4.315 4.315
Ge 10.085 7.208 7.208
Ge 10.084 10.084 10.084
Ge 10.091 1.432 7.194
Ge 10.091 4.329 10.091
Ge 10.091 7.194 1.432
Ge 10.091 10.091 4.329
Pd 5.761 5.761 5.761
CELL_PARAMETERS angstrom
11.523 0.000 0.000
0.000 11.523 0.000
0.000 0.000 11.523
```



no.,electronic total energy (eV/atom)
1,-7.264
2,-5.457
3,-4.644
4,-3.397
5,-8.476
6,-6.245
7,-7.668
8,-4.618